P) A relaxed Dy2TmZn2 crystal, computed with PBE.

Cell: 5.315 6.094 8.009 Å, 90.00 109.38 90.00°
Element x y z (fractional)
Dy (0.201, 0.658, 0.402)
Tm (0.418, 0.401, 0.836)
Dy (0.799, 0.158, 0.598)
Dy (0.044, 0.241, 0.088)
Tm (0.582, 0.901, 0.164)
Zn (0.381, 0.915, 0.762)
Zn (0.772, 0.650, 0.544)
Dy (0.956, 0.741, 0.912)
Zn (0.228, 0.150, 0.456)
Zn (0.619, 0.415, 0.238)

Output
Theoretical density = 8479 kg/m3
SG = No. 36

Q) A relaxed Dy2TmZn2 crystal, computed with PBE.

Cell: 3.591 5.098 13.261 Å, 90.00 97.82 90.00°
Element x y z (fractional)
Tm (0.144, 0.250, 0.288)
Dy (0.232, 0.750, 0.465)
Zn (0.550, 0.250, 0.101)
Tm (0.856, 0.750, 0.712)
Zn (0.450, 0.750, 0.899)
Zn (0.361, 0.250, 0.721)
Dy (0.954, 0.250, 0.908)
Zn (0.639, 0.750, 0.279)
Dy (0.046, 0.750, 0.092)
Dy (0.768, 0.250, 0.535)

Output
Theoretical density = 8626 kg/m3
SG = No. 63

Energies relative to the most stable structure are P) 6.8; Q) 0.0, reported in kJ/mol of atoms.

P) A relaxed Dy3TmZn2 crystal, computed with PBE.

Cell: 3.561 3.561 12.071 Å, 90.00 90.00 90.00°
Element x y z (fractional)
Zn (0.500, 0.500, 0.854)
Zn (0.500, 0.500, 0.146)
Dy (0.000, 0.000, 0.293)
Tm (0.500, 0.500, 0.500)
Dy (0.000, 0.000, 0.000)
Dy (0.000, 0.000, 0.707)

Output
Theoretical density = 8538 kg/m3
SG = No. 123

Q) A relaxed Dy3TmZn2 crystal, computed with PBE.

Cell: 5.016 6.698 9.044 Å, 90.00 90.00 90.00°
Element x y z (fractional)
Dy (0.000, 0.485, 0.945)
Dy (0.500, 0.169, 0.824)
Dy (0.000, 0.985, 0.055)
Zn (0.500, 0.225, 0.151)
Zn (0.000, 0.776, 0.350)
Dy (0.500, 0.669, 0.176)
Tm (0.500, 0.016, 0.445)
Zn (0.000, 0.276, 0.650)
Dy (0.000, 0.330, 0.328)
Zn (0.500, 0.725, 0.849)
Dy (0.000, 0.830, 0.672)
Tm (0.500, 0.516, 0.555)

Output
Theoretical density = 8605 kg/m3
SG = No. 26

Energies relative to the most stable structure are P) 1.3; Q) 0.0, reported in kJ/mol of atoms.

P) A relaxed Dy5Tm4Zr crystal, computed with PBE.

Cell: 5.843 7.865 7.865 Å, 82.07 68.19 68.19°
Element x y z (fractional)
Tm (0.761, 0.678, 0.678)
Dy (0.784, 0.000, 0.370)
Dy (0.153, 0.630, 0.000)
Tm (0.439, 0.322, 0.678)
Tm (0.117, 0.322, 0.322)
Dy (0.671, 0.000, 0.000)
Tm (0.439, 0.678, 0.322)
Zr (0.211, 0.000, 0.000)
Dy (0.783, 0.370, 0.000)
Dy (0.153, 0.000, 0.630)

Output
Theoretical density = 8419 kg/m3
SG = No. 107

Q) A relaxed Dy5Tm4Zr crystal, computed with PBE.

Cell: 3.477 9.844 10.438 Å, 103.63 119.94 90.10°
Element x y z (fractional)
Tm (0.714, 0.192, 0.809)
Dy (0.500, 0.500, 0.000)
Dy (0.090, 0.099, 0.394)
Tm (0.291, 0.288, 0.194)
Dy (0.902, 0.400, 0.601)
Dy (0.910, 0.901, 0.606)
Tm (0.709, 0.712, 0.806)
Dy (0.098, 0.600, 0.399)
Zr (0.500, 0.000, 0.000)
Tm (0.286, 0.808, 0.191)

Output
Theoretical density = 8807 kg/m3
SG = No. 2

Energies relative to the most stable structure are P) 21.1; Q) 0.0, reported in kJ/mol of atoms.

P) A relaxed Dy8Tm2Zr crystal, computed with PBE.

Cell: 6.520 9.923 9.923 Å, 38.07 61.17 61.17°
Element x y z (fractional)
Dy (0.274, 0.405, 0.405)
Tm (0.547, 0.815, 0.815)
Dy (0.847, 0.247, 0.247)
Dy (0.773, 0.175, 0.664)
Tm (0.453, 0.185, 0.185)
Dy (0.153, 0.753, 0.753)
Zr (0.000, 0.000, 0.000)
Dy (0.726, 0.595, 0.595)
Dy (0.773, 0.664, 0.175)
Dy (0.227, 0.336, 0.825)
Dy (0.227, 0.825, 0.336)

Output
Theoretical density = 8433 kg/m3
SG = No. 12

Q) A relaxed Dy8Tm2Zr crystal, computed with PBE.

Cell: 4.936 7.832 9.246 Å, 104.78 105.48 90.00°
Element x y z (fractional)
Dy (0.410, 0.555, 0.821)
Tm (0.774, 0.366, 0.548)
Dy (0.868, 0.824, 0.735)
Dy (0.044, 0.736, 0.089)
Dy (0.590, 0.445, 0.179)
Dy (0.956, 0.264, 0.911)
Tm (0.226, 0.634, 0.452)
Dy (0.679, 0.911, 0.358)
Zr (0.500, 0.000, 0.000)
Dy (0.321, 0.089, 0.642)
Dy (0.132, 0.176, 0.265)

Output
Theoretical density = 8644 kg/m3
SG = No. 12

Energies relative to the most stable structure are P) 16.5; Q) 0.0, reported in kJ/mol of atoms.